P) Pu3Ge after structural relaxation, computed with PBE.

extended XYZ file:
```
4
Lattice="0.000 3.464 3.464 3.464 0.000 3.464 3.464 3.464 0.000" Properties=species:S:1:pos:R:3 pbc="T T T"
Pu 0.000 0.000 0.000
Pu 1.732 1.732 1.732
Pu 5.196 5.196 5.196
Ge 3.464 3.464 3.464
```

## Properties
SG   Fm-3m (225)
Magnetic moment   5.656 Bohr magnetons per cell
D(E_F)   15.963 states/eV/f.u.


Q) Pu3Ge after structural relaxation, computed with PBE.

extended XYZ file:
```
4
Lattice="-1.195 5.000 2.873 1.195 -5.000 2.873 1.195 5.000 -2.873" Properties=species:S:1:pos:R:3 pbc="T T T"
Pu 0.000 0.000 0.000
Pu 1.195 2.615 -1.324
Pu 0.000 2.385 1.549
Ge 0.000 5.000 0.018
```

## Properties
SG   Imm2 (44)
Magnetic moment   0.441 Bohr magnetons per cell


It is Q) that is the least stable of them.


P) Pu3Ge after structural relaxation, computed with PBE.

extended XYZ file:
```
4
Lattice="5.479 0.000 0.000 0.000 5.479 0.000 0.000 0.000 2.382" Properties=species:S:1:pos:R:3 pbc="T T T"
Pu 0.000 0.000 0.000
Pu 0.000 2.740 1.191
Pu 2.740 0.000 1.191
Ge 2.740 2.740 0.000
```

## Properties
SG   P4/mmm (123)
Magnetic moment   0.842 Bohr magnetons per cell
D(E_F)   8.837 states/eV/f.u.


Q) Pu3Ge after structural relaxation, computed with PBE.

extended XYZ file:
```
4
Lattice="4.568 0.000 0.000 0.000 4.568 0.000 0.000 0.000 4.568" Properties=species:S:1:pos:R:3 pbc="T T T"
Pu 0.000 0.000 2.284
Pu 0.000 2.284 0.000
Pu 2.284 0.000 0.000
Ge 2.284 2.284 2.284
```

## Properties
SG   Pm-3m (221)
Magnetic moment   17.327 Bohr magnetons per cell
D(E_F)   15.071 states/eV/f.u.


R) Pu3Ge after structural relaxation, computed with PBE.

extended XYZ file:
```
4
Lattice="-2.246 2.246 4.689 2.246 -2.246 4.689 2.246 2.246 -4.689" Properties=species:S:1:pos:R:3 pbc="T T T"
Pu 0.000 0.000 0.000
Pu 2.246 0.000 2.345
Pu 0.000 2.246 2.345
Ge 0.000 0.000 4.689
```

## Properties
SG   I4/mmm (139)
Magnetic moment   17.175 Bohr magnetons per cell
D(E_F)   15.503 states/eV/f.u.


It is P) that is the least stable of them.


P) Pu3Ge4 after structural relaxation, computed with PBE.

extended XYZ file:
```
7
Lattice="-1.418 1.906 13.536 1.418 -1.906 13.536 1.418 1.906 -13.536" Properties=species:S:1:pos:R:3 pbc="T T T"
Pu 0.000 0.000 0.000
Pu 1.418 0.000 11.789
Pu 0.000 1.906 1.747
Ge 0.000 0.000 3.968
Ge 1.418 0.000 7.873
Ge 0.000 1.906 5.663
Ge 0.000 0.000 23.104
```

## Properties
SG   Immm (71)
Magnetic moment   6.608 Bohr magnetons per cell
D(E_F)   8.732 states/eV/f.u.


Q) Pu3Ge4 after structural relaxation, computed with PBE.

extended XYZ file:
```
14
Lattice="5.419 -2.035 0.000 5.419 2.035 0.000 -0.054 0.000 14.248" Properties=species:S:1:pos:R:3 pbc="T T T"
Pu 0.000 0.000 0.000
Pu 0.006 0.000 4.364
Pu 3.735 0.000 11.483
Pu 3.849 0.000 7.149
Pu 7.041 0.000 9.365
Pu 7.628 0.000 2.217
Ge 0.649 0.000 11.377
Ge 0.750 0.000 7.284
Ge 3.103 0.000 0.178
Ge 3.114 0.000 4.243
Ge 4.723 0.000 2.185
Ge 7.296 0.000 12.900
Ge 7.347 0.000 5.761
Ge 9.960 0.000 9.298
```

## Properties
SG   Cm (8)
Magnetic moment   10.820 Bohr magnetons per cell
D(E_F)   27.452 states/eV/f.u.


It is P) that is the least stable of them.


P) Pu4Ge after structural relaxation, computed with PBE.

extended XYZ file:
```
10
Lattice="3.646 0.000 0.000 1.764 4.967 0.000 0.068 0.405 11.420" Properties=species:S:1:pos:R:3 pbc="T T T"
Pu 0.000 0.000 0.000
Pu 1.084 2.986 10.555
Pu 1.006 1.075 3.373
Pu 2.791 4.834 5.496
Pu 2.909 3.134 9.006
Pu 2.812 2.492 4.397
Pu 2.682 0.733 8.132
Pu 4.647 4.651 2.427
Ge 0.989 2.799 6.731
Ge 2.823 2.522 1.440
```

## Properties
SG   P1 (1)
Magnetic moment   7.067 Bohr magnetons per cell
D(E_F)   12.617 states/eV/f.u.


Q) Pu4Ge after structural relaxation, computed with PBE.

extended XYZ file:
```
5
Lattice="5.531 0.000 0.000 0.000 5.531 0.000 0.000 0.000 5.531" Properties=species:S:1:pos:R:3 pbc="T T T"
Pu 0.000 0.000 0.000
Pu 0.000 2.766 2.766
Pu 2.766 0.000 2.766
Pu 2.766 2.766 0.000
Ge 2.766 2.766 2.766
```

## Properties
SG   Pm-3m (221)
Magnetic moment   12.190 Bohr magnetons per cell
D(E_F)   37.172 states/eV/f.u.


It is Q) that is the least stable of them.


P) Pu2ReGe after structural relaxation, computed with PBE.

extended XYZ file:
```
4
Lattice="3.733 0.000 0.000 0.000 3.733 0.000 0.000 0.000 5.689" Properties=species:S:1:pos:R:3 pbc="T T T"
Pu 0.000 0.000 1.398
Pu 0.000 0.000 4.290
Re 1.867 1.867 2.844
Ge 1.867 1.867 0.000
```

## Properties
SG   P4/mmm (123)
Magnetic moment   8.800 Bohr magnetons per cell
D(E_F)   9.641 states/eV/f.u.


Q) Pu2ReGe after structural relaxation, computed with PBE.

extended XYZ file:
```
4
Lattice="4.346 0.000 0.000 0.000 4.346 0.000 0.000 0.000 4.133" Properties=species:S:1:pos:R:3 pbc="T T T"
Pu 0.000 2.173 0.000
Pu 2.173 0.000 0.000
Re 0.000 0.000 2.066
Ge 2.173 2.173 2.066
```

## Properties
SG   P4/mmm (123)
Magnetic moment   8.813 Bohr magnetons per cell
D(E_F)   8.152 states/eV/f.u.


R) Pu2ReGe after structural relaxation, computed with PBE.

extended XYZ file:
```
4
Lattice="1.446 0.835 10.791 -1.446 0.835 10.791 0.000 -1.669 10.791" Properties=species:S:1:pos:R:3 pbc="T T T"
Pu 0.000 0.000 2.762
Pu 0.000 0.000 29.611
Re 0.000 0.000 0.000
Ge 0.000 0.000 16.186
```

## Properties
SG   R-3m (166)
Magnetic moment   8.906 Bohr magnetons per cell
D(E_F)   8.682 states/eV/f.u.


It is R) that is the least stable of them.


P) PuReGe2 after structural relaxation, computed with PBE.

extended XYZ file:
```
4
Lattice="1.485 0.857 9.918 -1.485 0.857 9.918 0.000 -1.715 9.918" Properties=species:S:1:pos:R:3 pbc="T T T"
Pu 0.000 0.000 0.000
Re 0.000 0.000 14.878
Ge 0.000 0.000 2.963
Ge 0.000 0.000 26.792
```

## Properties
SG   R-3m (166)
Magnetic moment   4.783 Bohr magnetons per cell
D(E_F)   6.809 states/eV/f.u.


Q) PuReGe2 after structural relaxation, computed with PBE.

extended XYZ file:
```
4
Lattice="3.185 0.000 0.000 0.000 3.185 0.000 0.000 0.000 7.088" Properties=species:S:1:pos:R:3 pbc="T T T"
Pu 0.000 0.000 0.000
Re 0.000 0.000 3.544
Ge 1.592 1.592 2.116
Ge 1.592 1.592 4.972
```

## Properties
SG   P4/mmm (123)
Magnetic moment   5.926 Bohr magnetons per cell
D(E_F)   7.562 states/eV/f.u.


It is P) that is the least stable of them.


P) Pu6Ge2Rh after structural relaxation, computed with PBE.

extended XYZ file:
```
18
Lattice="8.868 0.000 0.000 0.000 5.479 0.000 -6.404 0.000 8.676" Properties=species:S:1:pos:R:3 pbc="T T T"
Pu -2.576 1.308 3.702
Pu -5.779 1.432 8.040
Pu -0.010 1.280 2.372
Pu -3.212 1.459 6.710
Pu 2.284 3.429 2.607
Pu -0.918 4.790 6.945
Pu 3.381 0.690 1.731
Pu 0.179 2.050 6.069
Pu 5.675 4.020 1.966
Pu 2.473 4.199 6.304
Pu 8.242 4.047 0.636
Pu 5.040 4.171 4.974
Ge -0.832 3.981 3.808
Ge -4.034 4.237 8.146
Ge 6.498 1.242 0.530
Ge 3.295 1.498 4.868
Rh 1.232 0.000 4.338
Rh 4.434 2.740 0.000
```

## Properties
SG   P2_1/c (14)
Magnetic moment   69.671 Bohr magnetons per cell
D(E_F)   35.313 states/eV/f.u.


Q) Pu6Ge2Rh after structural relaxation, computed with PBE.

extended XYZ file:
```
18
Lattice="4.980 0.000 0.000 0.000 8.402 0.000 -4.929 0.000 8.790" Properties=species:S:1:pos:R:3 pbc="T T T"
Pu -0.228 1.569 1.043
Pu -2.692 2.632 5.438
Pu -0.157 4.358 3.083
Pu -2.621 8.245 7.478
Pu -0.062 1.296 3.528
Pu -2.526 2.905 7.923
Pu 2.578 5.497 0.867
Pu 0.114 7.106 5.261
Pu 2.673 0.157 1.311
Pu 0.209 4.044 5.706
Pu 2.744 5.770 3.352
Pu 0.280 6.833 7.746
Ge -2.281 5.557 6.435
Ge 0.183 7.046 2.041
Ge -0.132 1.356 6.749
Ge 2.333 2.845 2.354
Rh -2.464 0.000 4.395
Rh 0.000 4.201 0.000
```

## Properties
SG   P2_1/c (14)
Magnetic moment   19.048 Bohr magnetons per cell
D(E_F)   28.469 states/eV/f.u.


It is P) that is the least stable of them.


P) Pu5Ge2Rh after structural relaxation, computed with PBE.

extended XYZ file:
```
8
Lattice="2.520 1.455 8.182 -2.520 1.455 8.182 0.000 -2.910 8.182" Properties=species:S:1:pos:R:3 pbc="T T T"
Pu 0.000 0.000 0.000
Pu 0.000 0.000 3.172
Pu 0.000 0.000 6.596
Pu 0.000 0.000 17.950
Pu 0.000 0.000 21.374
Ge 0.000 0.000 9.675
Ge 0.000 0.000 14.870
Rh 0.000 0.000 12.273
```

## Properties
SG   R-3m (166)
Magnetic moment   28.888 Bohr magnetons per cell
D(E_F)   29.931 states/eV/f.u.


Q) Pu5Ge2Rh after structural relaxation, computed with PBE.

extended XYZ file:
```
16
Lattice="7.091 0.000 0.000 0.000 11.215 0.000 0.000 0.000 4.666" Properties=species:S:1:pos:R:3 pbc="T T T"
Pu 0.000 0.000 0.000
Pu 1.066 3.090 0.000
Pu 1.404 6.356 2.333
Pu 2.142 0.748 2.333
Pu 2.479 8.698 0.000
Pu 3.545 5.608 0.000
Pu 4.612 2.518 0.000
Pu 4.949 10.467 2.333
Pu 5.687 4.860 2.333
Pu 6.025 8.125 0.000
Ge 0.598 9.304 2.333
Ge 2.947 3.697 2.333
Ge 4.144 7.519 2.333
Ge 6.493 1.911 2.333
Rh 0.000 5.608 0.000
Rh 3.545 0.000 0.000
```

## Properties
SG   Pbam (55)
Magnetic moment   11.168 Bohr magnetons per cell
D(E_F)   33.640 states/eV/f.u.


It is P) that is the least stable of them.


P) Pu2Ge3Ru after structural relaxation, computed with PBE.

extended XYZ file:
```
6
Lattice="5.113 -2.210 0.000 5.113 2.210 0.000 -4.310 0.000 5.262" Properties=species:S:1:pos:R:3 pbc="T T T"
Pu 0.000 0.000 0.000
Pu -1.430 0.000 3.173
Ge 3.054 0.000 1.031
Ge 2.878 0.000 5.060
Ge 5.762 0.000 2.138
Ru 1.377 0.000 3.056
```

## Properties
SG   Cm (8)
Magnetic moment   0.019 Bohr magnetons per cell
D(E_F)   17.106 states/eV/f.u.


Q) Pu2Ge3Ru after structural relaxation, computed with PBE.

extended XYZ file:
```
6
Lattice="-2.174 2.750 5.318 2.174 -2.750 5.318 2.174 2.750 -5.318" Properties=species:S:1:pos:R:3 pbc="T T T"
Pu 0.000 0.000 1.957
Pu 0.000 0.000 8.678
Ge 2.174 0.000 0.000
Ge 2.174 0.000 3.990
Ge 0.000 2.750 1.328
Ru 0.000 0.000 5.318
```

## Properties
SG   Immm (71)
Magnetic moment   10.971 Bohr magnetons per cell
D(E_F)   19.799 states/eV/f.u.


It is Q) that is the least stable of them.


P) Pu3GeRu2 after structural relaxation, computed with PBE.

extended XYZ file:
```
24
Lattice="7.984 0.000 0.000 0.000 5.640 0.000 -1.552 0.000 10.393" Properties=species:S:1:pos:R:3 pbc="T T T"
Pu -0.097 1.040 3.811
Pu -0.873 1.780 9.007
Pu 1.356 2.911 6.504
Pu 2.132 5.550 1.307
Pu 2.191 2.946 1.797
Pu 1.415 5.515 6.994
Pu 5.017 0.125 3.400
Pu 4.241 2.695 8.596
Pu 4.300 0.090 9.086
Pu 5.076 2.730 3.889
Pu 7.305 3.860 1.386
Pu 6.529 4.600 6.582
Ge 1.525 3.789 9.384
Ge 2.301 4.671 4.187
Ge 4.131 0.969 6.206
Ge 4.907 1.851 1.009
Ru -0.177 3.830 4.138
Ru -0.953 4.630 9.335
Ru 1.724 1.168 9.466
Ru 2.500 1.652 4.270
Ru 3.932 3.989 6.123
Ru 4.708 4.472 0.927
Ru 7.385 1.010 1.058
Ru 6.609 1.810 6.255
```

## Properties
SG   P2_1/c (14)
Magnetic moment   16.210 Bohr magnetons per cell
D(E_F)   17.822 states/eV/f.u.


Q) Pu3GeRu2 after structural relaxation, computed with PBE.

extended XYZ file:
```
12
Lattice="8.557 -2.157 0.000 8.557 2.157 0.000 -1.710 0.000 6.149" Properties=species:S:1:pos:R:3 pbc="T T T"
Pu 0.204 0.000 2.547
Pu 3.058 0.000 5.173
Pu 6.179 0.000 2.124
Pu 9.225 0.000 4.025
Pu 12.345 0.000 0.977
Pu 15.200 0.000 3.602
Ge -0.019 0.000 6.026
Ge 15.422 0.000 0.124
Ru 2.788 0.000 2.348
Ru 5.947 0.000 5.088
Ru 9.457 0.000 1.061
Ru 12.615 0.000 3.802
```

## Properties
SG   C2/m (12)
Magnetic moment   4.508 Bohr magnetons per cell
D(E_F)   12.430 states/eV/f.u.


It is Q) that is the least stable of them.